Entry from the Alexandria database: a geometry-optimized Be2FeNi structure (PBE).

Lattice parameters (Å, degrees): 4.492 4.492 4.492 146.93 130.91 60.47
Element x y z (fractional)
Be1 0.000 0.000 0.000
Be2 0.765 0.265 0.500
Fe1 0.511 0.511 0.000
Ni1 0.243 0.743 0.500

Calculated values
Energy above the most stable polymorph in this dataset in eV/atom: 0.138
Magnetization in Bohr magnetons per cell: 2.03
Symmetry: Imm2
E_tot in eV/atom: -5.60
ΔH_f (0 K) in eV/atom: -0.178